(1)
VASP calculation (PBE-GGA) on Nd2SmSe4 after structural relaxation.

Mass density: 6.2 g/cm3
Fermi-level density of states: 2.21 states/eV/f.u.
Uncorrected formation energy: -1.85 eV/atom

Lattice parameters (Å, degrees): 7.2797 7.2797 14.1445 90.00 90.00 147.46
Fractional positions:
Nd 0.1300 0.8700 0.5707
Nd 0.1300 0.8700 0.9293
Nd 0.8700 0.1300 0.0707
Nd 0.8700 0.1300 0.4293
Sm 0.3731 0.6269 0.7500
Sm 0.6269 0.3731 0.2500
Se 0.0247 0.9753 0.7500
Se 0.2216 0.7784 0.1241
Se 0.2216 0.7784 0.3759
Se 0.5000 0.5000 0.0000
Se 0.5000 0.5000 0.5000
Se 0.7784 0.2216 0.6241
Se 0.7784 0.2216 0.8759
Se 0.9753 0.0247 0.2500

(2)
VASP calculation (PBE-GGA) on Nd3SmSe6 after structural relaxation.

Mass density: 5.9 g/cm3
Fermi-level density of states: 0.00 states/eV/f.u.
Uncorrected formation energy: -1.83 eV/atom

Lattice parameters (Å, degrees): 7.0562 7.7817 12.8412 90.00 122.91 90.00
Fractional positions:
Nd 0.0000 0.0000 0.0000
Nd 0.0000 0.5000 0.5000
Nd 0.2966 0.1023 0.7512
Nd 0.2966 0.3977 0.2512
Nd 0.7034 0.6023 0.7488
Nd 0.7034 0.8977 0.2488
Sm 0.5000 0.0000 0.5000
Sm 0.5000 0.5000 0.0000
Se 0.0905 0.0637 0.2521
Se 0.0905 0.4363 0.7521
Se 0.2575 0.6820 0.0841
Se 0.2575 0.8180 0.5841
Se 0.4130 0.1839 0.0829
Se 0.4130 0.3161 0.5829
Se 0.5870 0.6839 0.4171
Se 0.5870 0.8161 0.9171
Se 0.7425 0.1820 0.4159
Se 0.7425 0.3180 0.9159
Se 0.9095 0.5637 0.2479
Se 0.9095 0.9363 0.7479

(3)
VASP calculation (PBE-GGA) on Nd2Sm3Se8 after structural relaxation.

Mass density: 5.5 g/cm3
Fermi-level density of states: 6.94 states/eV/f.u.
Uncorrected formation energy: -1.71 eV/atom

Lattice parameters (Å, degrees): 8.4534 8.4534 7.1639 107.04 107.04 60.15
Fractional positions:
Nd 0.2393 0.2393 0.1590
Nd 0.7607 0.7607 0.8410
Sm 0.2378 0.7622 0.5000
Sm 0.5000 0.5000 0.0000
Sm 0.7622 0.2378 0.5000
Se 0.1226 0.1226 0.4201
Se 0.1412 0.6131 0.0861
Se 0.3827 0.3827 0.5743
Se 0.3869 0.8588 0.9139
Se 0.6131 0.1412 0.0861
Se 0.6173 0.6173 0.4257
Se 0.8588 0.3869 0.9139
Se 0.8774 0.8774 0.5799

(4)
VASP calculation (PBE-GGA) on Nd3SmSe4 after structural relaxation.

Mass density: 7.0 g/cm3
Fermi-level density of states: 3.84 states/eV/f.u.
Uncorrected formation energy: -1.84 eV/atom

Lattice parameters (Å, degrees): 7.3350 8.3523 7.3292 90.00 109.27 90.00
Fractional positions:
Nd 0.0000 0.1245 0.2500
Nd 0.0000 0.3745 0.7500
Nd 0.0000 0.6255 0.2500
Nd 0.0000 0.8755 0.7500
Nd 0.5000 0.1247 0.7500
Nd 0.5000 0.8753 0.2500
Sm 0.5000 0.3744 0.2500
Sm 0.5000 0.6256 0.7500
Se 0.2518 0.1268 0.0018
Se 0.2518 0.8732 0.5018
Se 0.2535 0.3769 0.4999
Se 0.2535 0.6231 0.9999
Se 0.7465 0.3769 0.0001
Se 0.7465 0.6231 0.5001
Se 0.7482 0.1268 0.4982
Se 0.7482 0.8732 0.9982

(5)
VASP calculation (PBE-GGA) on Nd3Sm2Se8 after structural relaxation.

Mass density: 5.4 g/cm3
Fermi-level density of states: 7.42 states/eV/f.u.
Uncorrected formation energy: -1.69 eV/atom

Lattice parameters (Å, degrees): 8.4691 8.4691 7.2000 107.23 107.23 60.26
Fractional positions:
Nd 0.0000 0.0000 0.0000
Nd 0.2630 0.7370 0.5000
Nd 0.7370 0.2630 0.5000
Sm 0.2597 0.2597 0.8422
Sm 0.7403 0.7403 0.1578
Se 0.1109 0.6378 0.0837
Se 0.1200 0.1200 0.4303
Se 0.3622 0.8891 0.9163
Se 0.3782 0.3782 0.5930
Se 0.6218 0.6218 0.4070
Se 0.6378 0.1109 0.0837
Se 0.8800 0.8800 0.5697
Se 0.8891 0.3622 0.9163

(6)
VASP calculation (PBE-GGA) on Nd3SmSe6 after structural relaxation.

Mass density: 5.4 g/cm3
Fermi-level density of states: 0.00 states/eV/f.u.
Uncorrected formation energy: -1.85 eV/atom

Lattice parameters (Å, degrees): 8.6535 8.6535 8.6535 91.11 91.11 91.11
Fractional positions:
Nd 0.0687 0.5778 0.7466
Nd 0.2534 0.9313 0.4222
Nd 0.4222 0.2534 0.9313
Nd 0.5778 0.7466 0.0687
Nd 0.7466 0.0687 0.5778
Nd 0.9313 0.4222 0.2534
Sm 0.0000 0.0000 0.0000
Sm 0.5000 0.5000 0.5000
Se 0.0371 0.9080 0.6817
Se 0.0920 0.3183 0.9629
Se 0.1858 0.5903 0.4183
Se 0.3183 0.9629 0.0920
Se 0.4097 0.5817 0.8142
Se 0.4183 0.1858 0.5903
Se 0.5817 0.8142 0.4097
Se 0.5903 0.4183 0.1858
Se 0.6817 0.0371 0.9080
Se 0.8142 0.4097 0.5817
Se 0.9080 0.6817 0.0371
Se 0.9629 0.0920 0.3183

Fermi-level density of states of number 1 (Nd2SmSe4)? 2.21 states/eV/f.u.